CrTcW2, relaxed, DFT GGA-PBE; volume = 59 Å³ per cell; symmetry = No. 225; ΔE_f = 0.05 eV per atom; electronic total energy = -45.708 eV for the cell shown
1.0
-1.827 -3.581 -1.700
-3.399 -1.874 1.998
-3.975 0.218 -1.790
W Cr Tc
2 1 1
Cartesian
-6.901 -3.928 -1.119
-2.300 -1.309 -0.373
0.000 0.000 0.000
-4.601 -2.619 -0.746